A plane-wave DFT calculation with PBE was carried out for La2Ta after structural relaxation.

Cell and atoms, written as POSCAR:
```
La2Ta
1.0
2.6681 -4.6214 0.0000
2.6681 4.6214 0.0000
0.0000 0.0000 7.0792
La Ta
4 2
direct
0.3333 0.6667 0.7500 La
0.6667 0.3333 0.2500 La
0.0000 0.0000 0.0000 La
0.0000 0.0000 0.5000 La
0.6667 0.3333 0.7500 Ta
0.3333 0.6667 0.2500 Ta
```

Properties
ΔE_f = 0.557 eV per atom
Space group = P6_3/mmc, No. 194
Excess energy over the best structure of this formula in the dataset = 279 meV/atom
ρ = 8.7 g cm⁻³